(1)
## Mg7SbPd4 (PBE)

Data for a relaxed Mg7SbPd4 crystal.

POSCAR file:
```
Mg7SbPd4
1.0
6.5350 -2.5317 0.0000
6.5350 2.5317 0.0000
-5.1815 0.0000 7.2306
Mg Sb Pd
7 1 4
Direct
0.0000 0.0000 0.0000
0.2113 0.2113 0.6608
0.2845 0.2845 0.1179
0.4343 0.4343 0.6127
0.5657 0.5657 0.3873
0.7155 0.7155 0.8821
0.7887 0.7887 0.3392
0.5000 0.5000 0.0000
0.0595 0.0595 0.7578
0.1955 0.1955 0.3510
0.8045 0.8045 0.6490
0.9405 0.9405 0.2422
```

Uncorrected formation energy in eV/atom: -0.326
Space-group type: No. 12


(2)
## Ac2SmHoSb4 (PBE)

Data for a relaxed Ac2SmHoSb4 crystal.

POSCAR file:
```
Ac2SmHoSb4
1.0
7.9839 0.0000 0.0000
0.0000 4.6141 0.0000
-2.6630 0.0000 7.5302
Ac Sm Ho Sb
2 1 1 4
Direct
0.0000 0.0000 0.0000
0.0000 0.5000 0.5000
0.5000 0.0000 0.5000
0.5000 0.5000 0.0000
0.2701 0.5000 0.2536
0.2721 0.0000 0.7604
0.7279 0.0000 0.2396
0.7299 0.5000 0.7464
```

Uncorrected formation energy in eV/atom: -1.160
Space-group type: No. 10


(3)
## CaNb2CdRe (PBE)

Data for a relaxed CaNb2CdRe crystal.

POSCAR file:
```
CaNb2CdRe
1.0
5.0686 0.0000 0.0000
0.0000 5.0686 0.0000
0.0000 0.0000 4.9974
Ca Nb Cd Re
1 2 1 1
Direct
0.0000 0.0000 0.0000
0.0000 0.5000 0.5000
0.5000 0.0000 0.5000
0.5000 0.5000 0.5000
0.5000 0.5000 0.0000
```

Formation enthalpy at 0 K in eV per atom: 1.94
Space-group type: No. 123


(4)
## Mg2NbH2 (PBE)

Data for a relaxed Mg2NbH2 crystal.

POSCAR file:
```
Mg2NbH2
1.0
5.7898 0.0000 0.0000
0.0000 5.7898 0.0000
0.0000 0.0000 4.0716
Mg Nb H
4 2 4
Direct
0.1890 0.3110 0.0000
0.3110 0.8110 0.0000
0.6890 0.1890 0.0000
0.8110 0.6890 0.0000
0.0000 0.0000 0.5000
0.5000 0.5000 0.5000
0.2437 0.2563 0.5000
0.2563 0.7563 0.5000
0.7437 0.2437 0.5000
0.7563 0.7437 0.5000
```

Offset from the most stable computed form in eV per atom: 0.000
Space-group type: No. 127


(5)
## Sm2Er4Sc5 (PBE)

Data for a relaxed Sm2Er4Sc5 crystal.

POSCAR file:
```
Sm2Er4Sc5
1.0
11.4865 -1.6551 0.0000
11.4865 1.6551 0.0000
-0.7906 0.0000 8.3002
Sm Er Sc
2 4 5
Direct
0.0915 0.0915 0.2552
0.9085 0.9085 0.7448
0.0469 0.0469 0.8520
0.3200 0.3200 0.0243
0.6800 0.6800 0.9757
0.9531 0.9531 0.1480
0.1454 0.1454 0.6211
0.2340 0.2340 0.3343
0.5000 0.5000 0.5000
0.7660 0.7660 0.6657
0.8546 0.8546 0.3789
```

Formation enthalpy at 0 K in eV per atom: 0.17
Space-group type: No. 12


(6)
## NbHN2O (PBE)

Data for a relaxed NbHN2O crystal.

POSCAR file:
```
NbHN2O
1.0
3.0628 0.0000 0.0000
0.0000 3.0628 0.0000
0.0000 0.0000 4.0220
Nb H N O
1 1 2 1
Direct
0.0000 0.0000 0.0000
0.5000 0.5000 0.5000
0.0000 0.5000 0.5000
0.5000 0.0000 0.5000
0.5000 0.5000 0.0000
```

Space-group type: No. 123


(7)
## SiTe2 (PBE)

Data for a relaxed SiTe2 crystal.

POSCAR file:
```
SiTe2
1.0
3.3521 0.0000 0.0000
0.0000 3.3521 0.0000
0.0000 0.0000 14.8655
Si Te
2 4
Direct
0.0000 0.0000 0.0000
0.5000 0.5000 0.5000
0.0000 0.0000 0.3742
0.0000 0.0000 0.6258
0.5000 0.5000 0.1258
0.5000 0.5000 0.8742
```

Uncorrected formation energy in eV/atom: 0.450
Space-group type: No. 139


(8)
## PrBRh6 (PBE)

Data for a relaxed PrBRh6 crystal.

POSCAR file:
```
PrBRh6
1.0
3.8564 0.0000 0.0000
0.0000 3.8564 0.0000
0.0000 0.0000 8.6049
Pr B Rh
1 1 6
Direct
0.0000 0.0000 0.0000
0.0000 0.0000 0.5000
0.0000 0.5000 0.3512
0.0000 0.5000 0.6488
0.5000 0.0000 0.3512
0.5000 0.0000 0.6488
0.5000 0.5000 0.1449
0.5000 0.5000 0.8551
```

Formation enthalpy at 0 K in eV per atom: -0.16
Space-group type: No. 123


N(E_F), record by record: 4.816; 1.052; 8.370; 5.299; 21.727; 0.978; 3.005; 7.544 states/eV/cell
Final energy, record by record: -3.331; -5.411; -5.165; -3.827; -5.222; -6.508; -3.452; -7.103 eV/atom